(1)
A plane-wave DFT calculation with GGA-PBE was carried out for crystalline HfTa2Be2 at its relaxed geometry.

Formation energy   514 meV/atom
E_tot   -7.708 eV/atom
Offset from the most stable computed form   0.579 eV per atom

a = 4.0098 Å, b = 4.0098 Å, c = 10.1227 Å
α = 90.00°, β = 90.00°, γ = 90.00°
Space group I4/mmm (No. 139)
Unique sites:
Hf: 0.0000 0.0000 0.0000 x2
Ta: 0.0000 0.0000 0.3693 x4
Be: 0.0000 0.5000 0.2500 x4



(2)
A plane-wave DFT calculation with GGA-PBE was carried out for crystalline Mg4ZrAl at its relaxed geometry.

Formation energy   258 meV/atom
E_tot   -2.854 eV/atom

a = 8.0592 Å, b = 8.0592 Å, c = 8.0592 Å
α = 90.00°, β = 90.00°, γ = 90.00°
Space group F-43m (No. 216)
Unique sites:
Mg: 0.1246 0.1246 0.1246 x16
Zr: 0.2500 0.2500 0.7500 x4
Al: 0.0000 0.0000 0.5000 x4



Q: Which value of formation energy does entry 1 give?
A: 514 meV/atom